(1)
First-principles (GGA-PBE) data for a relaxed structure of ErZn2In, as listed in Alexandria via LeMat-Bulk.

CIF file:
```
data_ErZn2In
_cell_length_a 4.078
_cell_length_b 4.495
_cell_length_c 4.495
_cell_angle_alpha 90.00
_cell_angle_beta 90.00
_cell_angle_gamma 90.00
_symmetry_space_group_name_H-M 'P 1'
_symmetry_Int_Tables_number 1
loop_
_symmetry_equiv_pos_as_xyz
'x,y,z'
loop_
_atom_site_label
_atom_site_type_symbol
_atom_site_fract_x
_atom_site_fract_y
_atom_site_fract_z
Zn1 Zn 0.000 0.000 0.500
Zn2 Zn 0.000 0.500 0.000
In1 In 0.500 0.000 0.000
Er1 Er 0.500 0.500 0.500
```

Properties
Its total energy is -11.0 eV per cell. For the formation energy, the calculation gives -1.154 eV/f.u.

(2)
First-principles (GGA-PBE) data for a relaxed structure of Er3Zn8In3, as listed in Alexandria via LeMat-Bulk.

CIF file:
```
data_Er3Zn8In3
_cell_length_a 4.335
_cell_length_b 8.401
_cell_length_c 8.401
_cell_angle_alpha 71.81
_cell_angle_beta 75.05
_cell_angle_gamma 75.05
_symmetry_space_group_name_H-M 'P 1'
_symmetry_Int_Tables_number 1
loop_
_symmetry_equiv_pos_as_xyz
'x,y,z'
loop_
_atom_site_label
_atom_site_type_symbol
_atom_site_fract_x
_atom_site_fract_y
_atom_site_fract_z
Er1 Er 0.500 0.500 0.500
Er2 Er 0.801 0.199 0.199
Er3 Er 0.199 0.801 0.801
Zn1 Zn 0.655 0.081 0.609
Zn2 Zn 0.345 0.919 0.391
Zn3 Zn 0.655 0.609 0.081
Zn4 Zn 0.345 0.391 0.919
Zn5 Zn 0.835 0.789 0.541
Zn6 Zn 0.165 0.211 0.459
Zn7 Zn 0.835 0.541 0.789
Zn8 Zn 0.165 0.459 0.211
In1 In 0.500 0.000 0.000
In2 In 0.000 0.784 0.216
In3 In 0.000 0.216 0.784
```

Properties
Its total energy is -36.3 eV per cell. For the formation energy, the calculation gives -4.236 eV/f.u.

(3)
First-principles (GGA-PBE) data for a relaxed structure of Er7Zn2In2, as listed in Alexandria via LeMat-Bulk.

CIF file:
```
data_Er7Zn2In2
_cell_length_a 6.730
_cell_length_b 7.386
_cell_length_c 6.730
_cell_angle_alpha 90.00
_cell_angle_beta 109.90
_cell_angle_gamma 90.00
_symmetry_space_group_name_H-M 'P 1'
_symmetry_Int_Tables_number 1
loop_
_symmetry_equiv_pos_as_xyz
'x,y,z'
loop_
_atom_site_label
_atom_site_type_symbol
_atom_site_fract_x
_atom_site_fract_y
_atom_site_fract_z
Er1 Er 0.000 0.273 0.500
Er2 Er 0.500 0.727 0.000
Er3 Er 0.000 0.727 0.500
Er4 Er 0.500 0.273 0.000
Er5 Er 0.000 0.000 0.000
Er6 Er 0.500 0.760 0.500
Er7 Er 0.500 0.240 0.500
Zn1 Zn 0.712 0.000 0.288
Zn2 Zn 0.288 0.000 0.712
In1 In 0.818 0.500 0.818
In2 In 0.182 0.500 0.182
```

Properties
Its total energy is -40.5 eV per cell. For the formation energy, the calculation gives -0.487 eV/f.u.

(4)
First-principles (GGA-PBE) data for a relaxed structure of Er4ZnIn, as listed in Alexandria via LeMat-Bulk.

CIF file:
```
data_Er4ZnIn
_cell_length_a 3.534
_cell_length_b 3.534
_cell_length_c 12.745
_cell_angle_alpha 90.00
_cell_angle_beta 90.00
_cell_angle_gamma 90.00
_symmetry_space_group_name_H-M 'P 1'
_symmetry_Int_Tables_number 1
loop_
_symmetry_equiv_pos_as_xyz
'x,y,z'
loop_
_atom_site_label
_atom_site_type_symbol
_atom_site_fract_x
_atom_site_fract_y
_atom_site_fract_z
Er1 Er 0.500 0.500 0.862
Er2 Er 0.500 0.500 0.138
Er3 Er 0.000 0.000 0.666
Er4 Er 0.000 0.000 0.334
Zn1 Zn 0.000 0.000 0.000
In1 In 0.500 0.500 0.500
```

Properties
Its total energy is -23.8 eV per cell. For the formation energy, the calculation gives -1.575 eV/f.u.